No. 1
# KVI2O8

KVI2O8 after structural relaxation (PBE+U, Alexandria via LeMat-Bulk).

The space group is C2/m (No. 12) and the conventional cell measures 11.9395, 5.4440 and 6.2282 Å, with angles of 90.00, 110.86 and 90.00 degrees. The inequivalent atoms are K at (0.0000, 0.0000, 0.0000), V at (0.0000, 0.5000, 0.5000), I at (0.2149, 0.0000, 0.6803), O at (0.0803, 0.5000, 0.3111), O at (0.1083, 0.2450, 0.7073) and O at (0.1846, 0.0000, 0.3757).

The polymorph energy (0 for the lowest one) is 145 meV/atom. The value obtained for the spin magnetization is 0.000 μB/f.u.



No. 2
# KVI2O8

KVI2O8 after structural relaxation (PBE+U, Alexandria via LeMat-Bulk).

The space group is P2_1/c (No. 14) and the conventional cell measures 9.7904, 5.3174 and 16.5196 Å, with angles of 90.00, 110.92 and 90.00 degrees. The inequivalent atoms are K at (0.0845, 0.2276, 0.4100), V at (0.3004, 0.7129, 0.3145), I at (0.2284, 0.2193, 0.1804), I at (0.4371, 0.6638, 0.0710), O at (0.0770, 0.2301, 0.0790), O at (0.1593, 0.5625, 0.7223), O at (0.1612, 0.0447, 0.7418), O at (0.2612, 0.6795, 0.4040), O at (0.3017, 0.6546, 0.1238), O at (0.3851, 0.1354, 0.5121), O at (0.3968, 0.0458, 0.3359) and O at (0.4528, 0.5494, 0.3260).

The polymorph energy (0 for the lowest one) is 0 meV/atom. The value obtained for the spin magnetization is 0.000 μB/f.u.



No. 3
# KVI2O

KVI2O after structural relaxation (PBE+U, Alexandria via LeMat-Bulk).

The space group is P4/mmm (No. 123) and the conventional cell measures 6.2866, 6.2866 and 4.5918 Å, with angles of 90.00, 90.00 and 90.00 degrees. The inequivalent atoms are K at (0.0000, 0.0000, 0.0000), V at (0.5000, 0.5000, 0.5000), I at (0.0000, 0.5000, 0.0000) and O at (0.0000, 0.0000, 0.5000).

The polymorph energy (0 for the lowest one) is 1512 meV/atom. The value obtained for the spin magnetization is 2.000 μB/f.u.



No. 4
# KVI2O

KVI2O after structural relaxation (PBE+U, Alexandria via LeMat-Bulk).

The space group is P4/mmm (No. 123) and the conventional cell measures 5.9863, 5.9863 and 3.7991 Å, with angles of 90.00, 90.00 and 90.00 degrees. The inequivalent atoms are K at (0.0000, 0.0000, 0.0000), V at (0.5000, 0.5000, 0.5000), I at (0.0000, 0.5000, 0.5000) and O at (0.5000, 0.5000, 0.0000).

The polymorph energy (0 for the lowest one) is 0 meV/atom. The value obtained for the spin magnetization is 2.000 μB/f.u.